1.
SrIr2Ru | GGA-PBE | relaxed

Lattice parameters (Å, degrees): 4.9615 4.9615 2.8823 90.00 90.00 90.00
Element x y z (fractional)
Ir (0.0000, 0.0000, 0.0000)
Ru (0.5000, 0.0000, 0.5000)
Ir (0.5000, 0.5000, 0.0000)
Sr (0.0000, 0.5000, 0.5000)

Computed properties:
Excess energy over the best structure of this formula in the dataset, kcal/mol of atoms: 8.70
D(E_F), states/eV/cell: 5.082
SG: P4/mmm, No. 123
Energy of formation, eV/atom: 0.613
M_tot, μB per formula unit: 1.4

=====

2.
SrIr2Ru | GGA-PBE | relaxed

Lattice parameters (Å, degrees): 4.6991 4.6991 4.6991 60.00 60.00 60.00
Element x y z (fractional)
Ir (0.2500, 0.2500, 0.2500)
Sr (0.0000, 0.0000, 0.0000)
Ru (0.5000, 0.5000, 0.5000)
Ir (0.7500, 0.7500, 0.7500)

Computed properties:
Excess energy over the best structure of this formula in the dataset, kcal/mol of atoms: 11.68
D(E_F), states/eV/cell: 1.998
SG: Fm-3m, No. 225
Energy of formation, eV/atom: 0.742
M_tot, μB per formula unit: 3.9

=====

3.
SrIrRu | GGA-PBE | relaxed

Lattice parameters (Å, degrees): 6.9052 6.9052 2.9899 77.50 77.50 25.01
Element x y z (fractional)
Sr (0.6652, 0.6652, 0.3348)
Ir (0.9747, 0.9747, 0.0253)
Ru (0.3601, 0.3601, 0.6399)

Computed properties:
Excess energy over the best structure of this formula in the dataset, kcal/mol of atoms: 6.41
D(E_F), states/eV/cell: 3.605
SG: I4mm, No. 107
Energy of formation, eV/atom: 0.380
M_tot, μB per formula unit: 0.0